ThRhAu | PBE-GGA | relaxed

Lattice parameters (Å, degrees): 4.5660 4.5660 3.7308 90.00 90.00 120.00
Positions (direct):
Th: 0.0000 0.0000 0.0000
Rh: 0.6667 0.3333 0.3984
Au: 0.3333 0.6667 0.5255

Properties
SG   P3m1, No. 156
Fermi-level density of states   0.4214 states/eV per atom
ΔE_f   -13.742 kcal/mol of atoms
Relative energy among the computed polymorphs   16.2 kJ per mole of atoms



ThRhAu | PBE-GGA | relaxed

Lattice parameters (Å, degrees): 4.6731 4.6731 4.6731 60.00 60.00 60.00
Positions (direct):
Th: 0.0000 0.0000 0.0000
Rh: 0.2500 0.2500 0.2500
Au: 0.5000 0.5000 0.5000

Properties
SG   F-43m, No. 216
Fermi-level density of states   0.3764 states/eV per atom
ΔE_f   -14.860 kcal/mol of atoms
Relative energy among the computed polymorphs   11.5 kJ per mole of atoms



ThTlRhAu | PBE-GGA | relaxed

Lattice parameters (Å, degrees): 5.0098 5.0098 5.0098 60.00 60.00 60.00
Positions (direct):
Th: 0.0000 0.0000 0.0000
Tl: 0.5000 0.5000 0.5000
Rh: 0.2500 0.2500 0.2500
Au: 0.7500 0.7500 0.7500

Properties
SG   F-43m, No. 216
Fermi-level density of states   0.9111 states/eV per atom
ΔE_f   -9.701 kcal/mol of atoms



TmTh2Rh5Au | PBE-GGA | relaxed

Lattice parameters (Å, degrees): 8.0685 8.0685 8.0685 117.64 117.64 94.14
Positions (direct):
Tm: 0.2500 0.2500 0.0000
Tm: 0.7500 0.7500 0.0000
Th: 0.1383 0.6383 0.7767
Th: 0.3617 0.1383 0.5000
Th: 0.6383 0.8617 0.5000
Th: 0.8617 0.3617 0.2233
Rh: 0.0000 0.0000 0.0000
Rh: 0.0573 0.1682 0.5000
Rh: 0.1682 0.6682 0.1108
Rh: 0.3318 0.4427 0.5000
Rh: 0.4427 0.9427 0.1108
Rh: 0.5000 0.5000 0.0000
Rh: 0.5573 0.0573 0.8892
Rh: 0.6682 0.5573 0.5000
Rh: 0.8318 0.3318 0.8892
Rh: 0.9427 0.8318 0.5000
Au: 0.2500 0.7500 0.5000
Au: 0.7500 0.2500 0.5000

Properties
SG   I4/mcm, No. 140
Fermi-level density of states   1.0510 states/eV per atom
ΔE_f   -8.142 kcal/mol of atoms